Below is a relaxed structure of ZnCoSb2, with properties calculated at the PBE level.

```
data_ZnCoSb2
_chemical_formula_sum 'Zn1 Co1 Sb2'
_cell_length_a 3.144
_cell_length_b 3.173
_cell_length_c 7.913
_cell_angle_alpha 90.00
_cell_angle_beta 90.00
_cell_angle_gamma 90.00
_space_group_name_H-M_alt 'P m m m'
_space_group_IT_number 47
_space_group_name_Hall '-P 2 2'
loop_
_atom_site_label
_atom_site_fract_x
_atom_site_fract_y
_atom_site_fract_z
_atom_site_occupancy
Zn1 0.000 0.000 0.000 1
Co1 0.000 0.000 0.500 1
Sb1 0.500 0.500 0.297 1
```

Output
ΔE_f (raw)   0.165 eV/atom
Calculated total energy   -16.0 eV per cell